# 1
# Zr3TlAu, relaxed, DFT PBE
data_Zr3TlAu
_chemical_formula_sum 'Zr3 Tl1 Au1'
_symmetry_space_group_name_H-M 'P 1'
_symmetry_Int_Tables_number 1
_symmetry_space_group_name_Hall 'P 1'
_cell_length_a 5.1891
_cell_length_b 5.1891
_cell_length_c 5.1891
_cell_angle_alpha 90.00
_cell_angle_beta 90.00
_cell_angle_gamma 90.00
loop_
_atom_site_label
_atom_site_type_symbol
_atom_site_fract_x
_atom_site_fract_y
_atom_site_fract_z
Au1 Au 0.0000 0.0000 0.0000
Zr1 Zr 0.0000 0.0000 0.5000
Zr2 Zr 0.5000 0.0000 0.0000
Zr3 Zr 0.0000 0.5000 0.0000
Tl1 Tl 0.5000 0.5000 0.5000
# Volume = 139.7 Å³/cell
# Offset from the most stable computed form = 0.00 eV per formula unit

---

# 2
# Tl2CdCl6, relaxed, DFT PBE
data_Tl2CdCl6
_chemical_formula_sum 'Tl4 Cd2 Cl12'
_symmetry_space_group_name_H-M 'P 1'
_symmetry_Int_Tables_number 1
_symmetry_space_group_name_Hall 'P 1'
_cell_length_a 10.0166
_cell_length_b 8.2920
_cell_length_c 8.2920
_cell_angle_alpha 76.33
_cell_angle_beta 73.85
_cell_angle_gamma 73.85
loop_
_atom_site_label
_atom_site_type_symbol
_atom_site_fract_x
_atom_site_fract_y
_atom_site_fract_z
Cl1 Cl 0.7036 0.9697 0.3571
Cl2 Cl 0.9563 0.3060 0.3975
Cl3 Cl 0.5437 0.6025 0.6940
Cl4 Cl 0.7964 0.6429 0.0303
Cl5 Cl 0.0437 0.6940 0.6025
Cl6 Cl 0.2036 0.3571 0.9697
Cl7 Cl 0.3660 0.9673 0.2076
Cl8 Cl 0.1340 0.7924 0.0327
Cl9 Cl 0.4563 0.3975 0.3060
Cl10 Cl 0.6340 0.0327 0.7924
Cl11 Cl 0.8660 0.2076 0.9673
Cl12 Cl 0.2964 0.0303 0.6429
Cd1 Cd 0.2500 0.0466 0.9534
Cd2 Cd 0.7500 0.9534 0.0466
Tl1 Tl 0.2617 0.6717 0.7331
Tl2 Tl 0.2383 0.2669 0.3283
Tl3 Tl 0.7617 0.7331 0.6717
Tl4 Tl 0.7383 0.3283 0.2669
# Volume = 626.0 Å³/cell
# Formation energy without anion corrections = -0.790 eV/atom

---

# 3
# CsRb3Sn, relaxed, DFT PBE
data_CsRb3Sn
_chemical_formula_sum 'Cs4 Rb12 Sn4'
_symmetry_space_group_name_H-M 'P 1'
_symmetry_Int_Tables_number 1
_symmetry_space_group_name_Hall 'P 1'
_cell_length_a 9.0511
_cell_length_b 13.5448
_cell_length_c 13.5448
_cell_angle_alpha 61.43
_cell_angle_beta 80.43
_cell_angle_gamma 80.43
loop_
_atom_site_label
_atom_site_type_symbol
_atom_site_fract_x
_atom_site_fract_y
_atom_site_fract_z
Sn1 Sn 0.2784 0.5984 0.2796
Sn2 Sn 0.7216 0.4016 0.7204
Sn3 Sn 0.2216 0.7204 0.4016
Sn4 Sn 0.7784 0.2796 0.5984
Rb1 Rb 0.9185 0.6621 0.6606
Rb2 Rb 0.5825 0.0148 0.6596
Rb3 Rb 0.5815 0.3394 0.3379
Rb4 Rb 0.9175 0.3404 0.9852
Rb5 Rb 0.0825 0.6596 0.0148
Rb6 Rb 0.0815 0.3379 0.3394
Rb7 Rb 0.9262 0.9874 0.3391
Rb8 Rb 0.0738 0.0126 0.6609
Rb9 Rb 0.4185 0.6606 0.6621
Rb10 Rb 0.4262 0.3391 0.9874
Rb11 Rb 0.5738 0.6609 0.0126
Rb12 Rb 0.4175 0.9852 0.3404
Cs1 Cs 0.2500 0.3765 0.6235
Cs2 Cs 0.7500 0.0658 0.9342
Cs3 Cs 0.2500 0.9342 0.0658
Cs4 Cs 0.7500 0.6235 0.3765
# Volume = 1430.8 Å³/cell
# Offset from the most stable computed form = 0.00 eV per formula unit

---

# 4
# Nb2Al5Ir2Rh, relaxed, DFT PBE
data_Nb2Al5Ir2Rh
_chemical_formula_sum 'Nb4 Al10 Ir4 Rh2'
_symmetry_space_group_name_H-M 'P 1'
_symmetry_Int_Tables_number 1
_symmetry_space_group_name_Hall 'P 1'
_cell_length_a 3.9121
_cell_length_b 9.0427
_cell_length_c 9.0427
_cell_angle_alpha 90.00
_cell_angle_beta 90.00
_cell_angle_gamma 90.00
loop_
_atom_site_label
_atom_site_type_symbol
_atom_site_fract_x
_atom_site_fract_y
_atom_site_fract_z
Al1 Al 0.5000 0.0000 0.5000
Al2 Al 0.5000 0.3001 0.5616
Al3 Al 0.5000 0.5616 0.6999
Al4 Al 0.5000 0.1999 0.0616
Al5 Al 0.5000 0.5000 0.0000
Al6 Al 0.5000 0.9384 0.1999
Al7 Al 0.5000 0.0616 0.8001
Al8 Al 0.5000 0.4384 0.3001
Al9 Al 0.5000 0.8001 0.9384
Al10 Al 0.5000 0.6999 0.4384
Ir1 Ir 0.0000 0.8785 0.3785
Ir2 Ir 0.0000 0.1215 0.6215
Ir3 Ir 0.0000 0.3785 0.1215
Ir4 Ir 0.0000 0.6215 0.8785
Nb1 Nb 0.0000 0.6772 0.1772
Nb2 Nb 0.0000 0.1772 0.3228
Nb3 Nb 0.0000 0.3228 0.8228
Nb4 Nb 0.0000 0.8228 0.6772
Rh1 Rh 0.0000 0.5000 0.5000
Rh2 Rh 0.0000 0.0000 0.0000
# Calculated total energy = -6.94 eV per atom
# Volume = 319.9 Å³/cell

---

# 5
# Zn2Ag2Bi, relaxed, DFT PBE
data_Zn2Ag2Bi
_chemical_formula_sum 'Zn2 Ag2 Bi1'
_symmetry_space_group_name_H-M 'P 1'
_symmetry_Int_Tables_number 1
_symmetry_space_group_name_Hall 'P 1'
_cell_length_a 3.8289
_cell_length_b 3.8289
_cell_length_c 7.4351
_cell_angle_alpha 75.08
_cell_angle_beta 75.08
_cell_angle_gamma 90.00
loop_
_atom_site_label
_atom_site_type_symbol
_atom_site_fract_x
_atom_site_fract_y
_atom_site_fract_z
Bi1 Bi 0.0000 0.0000 0.0000
Ag1 Ag 0.6103 0.6103 0.7795
Ag2 Ag 0.3897 0.3897 0.2205
Zn1 Zn 0.7500 0.2500 0.5000
Zn2 Zn 0.2500 0.7500 0.5000
# Volume = 101.5 Å³/cell
# Offset from the most stable computed form = 0.00 eV per formula unit

---

# 6
# RbAcTeF2, relaxed, DFT PBE
data_RbAcTeF2
_chemical_formula_sum 'Rb1 Ac1 Te1 F2'
_symmetry_space_group_name_H-M 'P 1'
_symmetry_Int_Tables_number 1
_symmetry_space_group_name_Hall 'P 1'
_cell_length_a 4.9533
_cell_length_b 4.9533
_cell_length_c 6.6012
_cell_angle_alpha 90.00
_cell_angle_beta 90.00
_cell_angle_gamma 90.00
loop_
_atom_site_label
_atom_site_type_symbol
_atom_site_fract_x
_atom_site_fract_y
_atom_site_fract_z
Te1 Te 0.0000 0.0000 0.4876
F1 F 0.0000 0.5000 0.9674
F2 F 0.5000 0.0000 0.9674
Ac1 Ac 0.0000 0.0000 0.9949
Rb1 Rb 0.5000 0.5000 0.5828
# Volume = 162.0 Å³/cell
# Formation energy without anion corrections = -2.754 eV/atom

---

# 7
# AlFeSe2, relaxed, DFT PBE
data_AlFeSe2
_chemical_formula_sum 'Al1 Fe1 Se2'
_symmetry_space_group_name_H-M 'P 1'
_symmetry_Int_Tables_number 1
_symmetry_space_group_name_Hall 'P 1'
_cell_length_a 9.2706
_cell_length_b 9.2706
_cell_length_c 9.2706
_cell_angle_alpha 19.73
_cell_angle_beta 19.73
_cell_angle_gamma 19.73
loop_
_atom_site_label
_atom_site_type_symbol
_atom_site_fract_x
_atom_site_fract_y
_atom_site_fract_z
Al1 Al 0.4915 0.4915 0.4915
Fe1 Fe 0.7527 0.7527 0.7527
Se1 Se 0.0343 0.0343 0.0343
Se2 Se 0.2215 0.2215 0.2215
# Volume = 79.4 Å³/cell
# Formation energy without anion corrections = -0.185 eV/atom

---

# 8
# TiAlSi, relaxed, DFT PBE
data_TiAlSi
_chemical_formula_sum 'Ti2 Al2 Si2'
_symmetry_space_group_name_H-M 'P 1'
_symmetry_Int_Tables_number 1
_symmetry_space_group_name_Hall 'P 1'
_cell_length_a 3.6593
_cell_length_b 3.7298
_cell_length_c 6.8876
_cell_angle_alpha 105.71
_cell_angle_beta 90.00
_cell_angle_gamma 90.00
loop_
_atom_site_label
_atom_site_type_symbol
_atom_site_fract_x
_atom_site_fract_y
_atom_site_fract_z
Si1 Si 0.2500 0.4314 0.8627
Si2 Si 0.7500 0.5686 0.1373
Ti1 Ti 0.2500 0.0880 0.1761
Ti2 Ti 0.7500 0.9120 0.8239
Al1 Al 0.7500 0.2498 0.4996
Al2 Al 0.2500 0.7502 0.5004
# Volume = 90.5 Å³/cell
# Formation energy without anion corrections = -0.495 eV/atom

---

# 9
# TmBiPb2O6, relaxed, DFT PBE
data_TmBiPb2O6
_chemical_formula_sum 'Tm2 Bi2 Pb4 O12'
_symmetry_space_group_name_H-M 'P 1'
_symmetry_Int_Tables_number 1
_symmetry_space_group_name_Hall 'P 1'
_cell_length_a 5.9534
_cell_length_b 6.0525
_cell_length_c 8.5105
_cell_angle_alpha 90.00
_cell_angle_beta 89.90
_cell_angle_gamma 90.00
loop_
_atom_site_label
_atom_site_type_symbol
_atom_site_fract_x
_atom_site_fract_y
_atom_site_fract_z
O1 O 0.3039 0.7085 0.4584
O2 O 0.1961 0.2085 0.0416
O3 O 0.2908 0.7012 0.0428
O4 O 0.8039 0.7915 0.9584
O5 O 0.9144 0.5221 0.2453
O6 O 0.6961 0.2915 0.5416
O7 O 0.2092 0.2012 0.4572
O8 O 0.7092 0.2988 0.9572
O9 O 0.7908 0.7988 0.5428
O10 O 0.0856 0.4779 0.7547
O11 O 0.5856 0.0221 0.2547
O12 O 0.4144 0.9779 0.7453
Pb1 Pb 0.0049 0.9671 0.2489
Pb2 Pb 0.9951 0.0329 0.7511
Pb3 Pb 0.4951 0.4671 0.2511
Pb4 Pb 0.5049 0.5329 0.7489
Bi1 Bi 0.5000 0.0000 0.5000
Bi2 Bi 0.0000 0.5000 0.0000
Tm1 Tm 0.5000 0.0000 0.0000
Tm2 Tm 0.0000 0.5000 0.5000
# Volume = 306.7 Å³/cell
# Formation energy without anion corrections = -1.656 eV/atom

---

# 10
# Ho3ScTl4S8, relaxed, DFT PBE
data_Ho3ScTl4S8
_chemical_formula_sum 'Ho3 Sc1 Tl4 S8'
_symmetry_space_group_name_H-M 'P 1'
_symmetry_Int_Tables_number 1
_symmetry_space_group_name_Hall 'P 1'
_cell_length_a 7.9252
_cell_length_b 8.7977
_cell_length_c 7.9254
_cell_angle_alpha 116.78
_cell_angle_beta 120.00
_cell_angle_gamma 90.00
loop_
_atom_site_label
_atom_site_type_symbol
_atom_site_fract_x
_atom_site_fract_y
_atom_site_fract_z
Ho1 Ho 0.5000 0.5000 0.0000
Ho2 Ho 0.5000 0.5000 0.5000
Ho3 Ho 0.0000 0.5000 0.5000
S1 S 0.7328 0.6984 0.4657
S2 S 0.2261 0.6937 0.4522
S3 S 0.7739 0.3063 0.5478
S4 S 0.2672 0.3016 0.5343
S5 S 0.7739 0.3064 0.0323
S6 S 0.7416 0.6936 0.9677
S7 S 0.2584 0.3064 0.0323
S8 S 0.2261 0.6936 0.9677
Tl1 Tl 0.5000 0.0000 0.0000
Tl2 Tl 0.5000 0.0000 0.5000
Tl3 Tl 0.0000 0.0000 0.5000
Tl4 Tl 0.0000 0.0000 0.0000
Sc1 Sc 0.0000 0.5000 0.0000
# Volume = 408.7 Å³/cell
# Formation energy without anion corrections = -1.454 eV/atom

---

# 11
# CaSb2S, relaxed, DFT PBE
data_CaSb2S
_chemical_formula_sum 'Ca2 Sb4 S2'
_symmetry_space_group_name_H-M 'P 1'
_symmetry_Int_Tables_number 1
_symmetry_space_group_name_Hall 'P 1'
_cell_length_a 9.5003
_cell_length_b 9.5003
_cell_length_c 7.2366
_cell_angle_alpha 48.97
_cell_angle_beta 48.97
_cell_angle_gamma 90.00
loop_
_atom_site_label
_atom_site_type_symbol
_atom_site_fract_x
_atom_site_fract_y
_atom_site_fract_z
Sb1 Sb 0.5547 0.1250 0.2500
Sb2 Sb 0.3750 0.4453 0.7500
Sb3 Sb 0.1953 0.6250 0.2500
Sb4 Sb 0.8750 0.8047 0.7500
Ca1 Ca 0.0000 0.0000 0.0000
Ca2 Ca 0.7500 0.2500 0.5000
S1 S 0.2500 0.7500 0.5000
S2 S 0.5000 0.5000 0.0000
# Volume = 242.9 Å³/cell
# Formation energy without anion corrections = -0.285 eV/atom

---

# 12
# NaHfNi3, relaxed, DFT PBE
data_NaHfNi3
_chemical_formula_sum 'Na1 Hf1 Ni3'
_symmetry_space_group_name_H-M 'P 1'
_symmetry_Int_Tables_number 1
_symmetry_space_group_name_Hall 'P 1'
_cell_length_a 4.6951
_cell_length_b 4.6951
_cell_length_c 4.6951
_cell_angle_alpha 90.00
_cell_angle_beta 90.00
_cell_angle_gamma 90.00
loop_
_atom_site_label
_atom_site_type_symbol
_atom_site_fract_x
_atom_site_fract_y
_atom_site_fract_z
Hf1 Hf 0.0000 0.0000 0.0000
Ni1 Ni 0.0000 0.0000 0.5000
Ni2 Ni 0.5000 0.0000 0.0000
Ni3 Ni 0.0000 0.5000 0.0000
Na1 Na 0.5000 0.5000 0.5000
# Volume = 103.5 Å³/cell
# Offset from the most stable computed form = 0.00 eV per formula unit

---

# 13
# LiPbW2, relaxed, DFT PBE
data_LiPbW2
_chemical_formula_sum 'Li1 Pb1 W2'
_symmetry_space_group_name_H-M 'P 1'
_symmetry_Int_Tables_number 1
_symmetry_space_group_name_Hall 'P 1'
_cell_length_a 3.3243
_cell_length_b 4.3450
_cell_length_c 4.7717
_cell_angle_alpha 90.00
_cell_angle_beta 90.00
_cell_angle_gamma 90.00
loop_
_atom_site_label
_atom_site_type_symbol
_atom_site_fract_x
_atom_site_fract_y
_atom_site_fract_z
W1 W 0.5000 0.5000 0.0000
W2 W 0.0000 0.0000 0.0000
Li1 Li 0.5000 0.0000 0.5000
Pb1 Pb 0.0000 0.5000 0.5000
# Calculated total energy = -7.23 eV per atom
# Volume = 68.9 Å³/cell

---

# 14
# Li3Al, relaxed, DFT PBE
data_Li3Al
_chemical_formula_sum 'Li6 Al2'
_symmetry_space_group_name_H-M 'P 1'
_symmetry_Int_Tables_number 1
_symmetry_space_group_name_Hall 'P 1'
_cell_length_a 5.6314
_cell_length_b 5.6314
_cell_length_c 4.4964
_cell_angle_alpha 90.00
_cell_angle_beta 90.00
_cell_angle_gamma 68.97
loop_
_atom_site_label
_atom_site_type_symbol
_atom_site_fract_x
_atom_site_fract_y
_atom_site_fract_z
Li1 Li 0.1105 0.8895 0.7500
Li2 Li 0.1381 0.3999 0.7500
Li3 Li 0.8895 0.1105 0.2500
Li4 Li 0.3999 0.1381 0.2500
Li5 Li 0.8619 0.6001 0.2500
Li6 Li 0.6001 0.8619 0.7500
Al1 Al 0.3686 0.6314 0.2500
Al2 Al 0.6314 0.3686 0.7500
# Calculated total energy = -2.49 eV per atom
# Volume = 133.1 Å³/cell

---

# 15
# Li2NdDySi2, relaxed, DFT PBE
data_Li2NdDySi2
_chemical_formula_sum 'Li2 Nd1 Dy1 Si2'
_symmetry_space_group_name_H-M 'P 1'
_symmetry_Int_Tables_number 1
_symmetry_space_group_name_Hall 'P 1'
_cell_length_a 4.4222
_cell_length_b 4.4222
_cell_length_c 7.3181
_cell_angle_alpha 90.00
_cell_angle_beta 90.00
_cell_angle_gamma 120.00
loop_
_atom_site_label
_atom_site_type_symbol
_atom_site_fract_x
_atom_site_fract_y
_atom_site_fract_z
Si1 Si 0.6667 0.3333 0.7373
Si2 Si 0.3333 0.6667 0.2627
Nd1 Nd 0.0000 0.0000 0.0000
Dy1 Dy 0.0000 0.0000 0.5000
Li1 Li 0.6667 0.3333 0.2787
Li2 Li 0.3333 0.6667 0.7213
# Volume = 123.9 Å³/cell
# Formation energy without anion corrections = -0.554 eV/atom

---

# 16
# La2Pm7Pr, relaxed, DFT PBE
data_La2Pm7Pr
_chemical_formula_sum 'La2 Pm7 Pr1'
_symmetry_space_group_name_H-M 'P 1'
_symmetry_Int_Tables_number 1
_symmetry_space_group_name_Hall 'P 1'
_cell_length_a 3.5560
_cell_length_b 10.4377
_cell_length_c 10.4377
_cell_angle_alpha 109.34
_cell_angle_beta 90.00
_cell_angle_gamma 90.00
loop_
_atom_site_label
_atom_site_type_symbol
_atom_site_fract_x
_atom_site_fract_y
_atom_site_fract_z
Pm1 Pm 0.0000 0.3259 0.6741
Pm2 Pm 0.5000 0.8722 0.6177
Pm3 Pm 0.0000 0.6741 0.3259
Pm4 Pm 0.5000 0.3823 0.1278
Pm5 Pm 0.5000 0.5000 0.5000
Pm6 Pm 0.5000 0.6177 0.8722
Pm7 Pm 0.5000 0.1278 0.3823
Pr1 Pr 0.0000 0.0000 0.0000
La1 La 0.5000 0.8258 0.1742
La2 La 0.5000 0.1742 0.8258
# Volume = 365.5 Å³/cell
# Offset from the most stable computed form = 2.16 eV per formula unit

---

# 17
# Dy4Cd3, relaxed, DFT PBE
data_Dy4Cd3
_chemical_formula_sum 'Dy8 Cd6'
_symmetry_space_group_name_H-M 'P 1'
_symmetry_Int_Tables_number 1
_symmetry_space_group_name_Hall 'P 1'
_cell_length_a 6.4989
_cell_length_b 8.4738
_cell_length_c 8.4738
_cell_angle_alpha 113.70
_cell_angle_beta 104.81
_cell_angle_gamma 104.81
loop_
_atom_site_label
_atom_site_type_symbol
_atom_site_fract_x
_atom_site_fract_y
_atom_site_fract_z
Dy1 Dy 0.2204 0.8536 0.2970
Dy2 Dy 0.6332 0.5566 0.8536
Dy3 Dy 0.5000 0.0000 0.0000
Dy4 Dy 0.9234 0.7030 0.5566
Dy5 Dy 0.0000 0.0000 0.0000
Dy6 Dy 0.3668 0.4434 0.1464
Dy7 Dy 0.0766 0.2970 0.4434
Dy8 Dy 0.7796 0.1464 0.7030
Cd1 Cd 0.1385 0.5899 0.8672
Cd2 Cd 0.4514 0.7227 0.5899
Cd3 Cd 0.5486 0.2773 0.4101
Cd4 Cd 0.7287 0.8672 0.2773
Cd5 Cd 0.2713 0.1328 0.7227
Cd6 Cd 0.8615 0.4101 0.1328
# Calculated total energy = -3.25 eV per atom
# Volume = 377.7 Å³/cell